VASP calculation (PBE) on a relaxed La2SeO crystal.

The energy above the lowest structure with this stoichiometry is 607 meV per atom. Its raw formation energy is -671 kJ/mol of formula units. The total DFT energy (no corrections) is -101.0 eV per cell. The value obtained for the magnetic moment is 0.00 μB/f.u.

It has space group Fm-3m (No. 225), with a = 6.985 Å, b = 6.985 Å, c = 6.985 Å, α = 90.00°, β = 90.00° and γ = 90.00°. Symmetry generates all atoms from La at (0.250, 0.250, 0.250), Se at (0.000, 0.000, 0.000) and O at (0.000, 0.000, 0.500).

=====

VASP calculation (PBE) on a relaxed LaSe2O crystal.

Its raw formation energy is -334 kJ/mol of formula units. The total DFT energy (no corrections) is -61.0 eV per cell. The value obtained for the magnetic moment is 0.00 μB/f.u.

It has space group R-3m (No. 166, hexagonal axes), with a = 4.6581 Å, b = 4.6581 Å, c = 19.9786 Å, α = 90.00°, β = 90.00° and γ = 120.00°. Symmetry generates all atoms from La at (0.0000, 0.0000, 0.0000), Se at (0.0000, 0.0000, 0.4024) and O at (0.0000, 0.0000, 0.5000).

=====

VASP calculation (PBE) on a relaxed La2Se2O crystal.

The energy above the lowest structure with this stoichiometry is 35 meV per atom. Its raw formation energy is -1231 kJ/mol of formula units. The total DFT energy (no corrections) is -138.1 eV per cell. The value obtained for the magnetic moment is 0.00 μB/f.u.

It has space group Cmc2_1 (No. 36), with a = 4.164 Å, b = 16.695 Å, c = 7.466 Å, α = 90.00°, β = 90.00° and γ = 90.00°. Symmetry generates all atoms from La at (0.000, 0.068, 0.000), La at (0.000, 0.341, 0.112), Se at (0.000, 0.294, 0.507), Se at (0.000, 0.465, 0.811) and O at (0.000, 0.111, 0.704).

=====

VASP calculation (PBE) on a relaxed La2Se2O crystal.

The energy above the lowest structure with this stoichiometry is 12 meV per atom. Its raw formation energy is -1242 kJ/mol of formula units. The total DFT energy (no corrections) is -138.6 eV per cell. The value obtained for the magnetic moment is 0.00 μB/f.u.

It has space group Ibam (No. 72), with a = 6.668 Å, b = 12.136 Å, c = 6.085 Å, α = 90.00°, β = 90.00° and γ = 90.00°. Symmetry generates all atoms from La at (0.203, 0.105, 0.000), Se at (0.165, 0.354, 0.000) and O at (0.000, 0.000, 0.250).

=====

VASP calculation (PBE) on a relaxed LaSe3O crystal.

The energy above the lowest structure with this stoichiometry is 0 meV per atom. Its raw formation energy is -384 kJ/mol of formula units. The total DFT energy (no corrections) is -24.3 eV per cell. The value obtained for the magnetic moment is 0.00 μB/f.u.

It has space group Pm-3m (No. 221), with a = 4.656 Å, b = 4.656 Å, c = 4.656 Å, α = 90.00°, β = 90.00° and γ = 90.00°. Symmetry generates all atoms from La at (0.000, 0.000, 0.000), Se at (0.000, 0.500, 0.500) and O at (0.500, 0.500, 0.500).

=====

VASP calculation (PBE) on a relaxed LaSe3O crystal.

The energy above the lowest structure with this stoichiometry is 1082 meV per atom. Its raw formation energy is 137 kJ/mol of formula units. The total DFT energy (no corrections) is -18.9 eV per cell. The value obtained for the magnetic moment is 5.00 μB/f.u.

It has space group Pm-3m (No. 221), with a = 5.887 Å, b = 5.887 Å, c = 5.887 Å, α = 90.00°, β = 90.00° and γ = 90.00°. Symmetry generates all atoms from La at (0.000, 0.000, 0.000), Se at (0.000, 0.000, 0.500) and O at (0.500, 0.500, 0.500).

=====

VASP calculation (PBE) on a relaxed La4Si2Se3O7 crystal.

Its raw formation energy is -4434 kJ/mol of formula units. The total DFT energy (no corrections) is -973.4 eV per cell. The value obtained for the magnetic moment is 0.00 μB/f.u.

It has space group I4_1/amd (No. 141, origin choice 2), with a = 12.358 Å, b = 12.358 Å, c = 14.795 Å, α = 90.00°, β = 90.00° and γ = 90.00°. Symmetry generates all atoms from La at (0.000, 0.010, 0.334), La at (0.172, 0.078, 0.875), Si at (0.000, 0.127, 0.094), Se at (0.000, 0.250, 0.375), Se at (0.000, 0.250, 0.875), Se at (0.147, 0.000, 0.500), O at (0.000, 0.027, 0.170), O at (0.000, 0.250, 0.139) and O at (0.116, 0.110, 0.042).

=====

VASP calculation (PBE) on a relaxed LaSmSeO2 crystal.

Its raw formation energy is -1473 kJ/mol of formula units. The total DFT energy (no corrections) is -76.6 eV per cell. The value obtained for the magnetic moment is 0.00 μB/f.u.

It has space group I4mm (No. 107), with a = 3.976 Å, b = 3.976 Å, c = 12.654 Å, α = 90.00°, β = 90.00° and γ = 90.00°. Symmetry generates all atoms from La at (0.000, 0.000, 0.000), Sm at (0.000, 0.000, 0.692), Se at (0.000, 0.000, 0.344) and O at (0.000, 0.500, 0.100).

=====

VASP calculation (PBE) on a relaxed SrLaSe2O8 crystal.

Its raw formation energy is -1885 kJ/mol of formula units. The total DFT energy (no corrections) is -72.8 eV per cell. The value obtained for the magnetic moment is 0.00 μB/f.u.

It has space group P-3 (No. 147), with a = 5.8411 Å, b = 5.8411 Å, c = 7.5689 Å, α = 90.00°, β = 90.00° and γ = 120.00°. Symmetry generates all atoms from Sr at (0.0000, 0.0000, 0.0000), La at (0.0000, 0.0000, 0.5000), Se at (0.3333, 0.6667, 0.7934), O at (0.1664, 0.8318, 0.7247) and O at (0.3333, 0.6667, 0.0133).

=====

VASP calculation (PBE) on a relaxed SrLaSeO6 crystal.

Its raw formation energy is -1515 kJ/mol of formula units. The total DFT energy (no corrections) is -55.5 eV per cell. The value obtained for the magnetic moment is 1.03 μB/f.u.

It has space group P312 (No. 149), with a = 5.6727 Å, b = 5.6727 Å, c = 4.8984 Å, α = 90.00°, β = 90.00° and γ = 120.00°. Symmetry generates all atoms from Sr at (0.0000, 0.0000, 0.0000), La at (0.6667, 0.3333, 0.5000), Se at (0.3333, 0.6667, 0.0000) and O at (0.0568, 0.4153, 0.2149).

=====

VASP calculation (PBE) on a relaxed LaTa2SeO crystal.

Its raw formation energy is -376 kJ/mol of formula units. The total DFT energy (no corrections) is -41.0 eV per cell. The value obtained for the magnetic moment is 0.00 μB/f.u.

It has space group P4/mmm (No. 123), with a = 4.155 Å, b = 4.155 Å, c = 5.912 Å, α = 90.00°, β = 90.00° and γ = 90.00°. Symmetry generates all atoms from La at (0.000, 0.000, 0.000), Ta at (0.000, 0.500, 0.500), Se at (0.500, 0.500, 0.000) and O at (0.500, 0.500, 0.500).

=====

VASP calculation (PBE) on a relaxed LaTbSeO2 crystal.

Its raw formation energy is -1499 kJ/mol of formula units. The total DFT energy (no corrections) is -77.0 eV per cell. The value obtained for the magnetic moment is 0.00 μB/f.u.

It has space group P2_1/m (No. 11), with a = 6.707 Å, b = 4.123 Å, c = 7.859 Å, α = 90.00°, β = 108.08° and γ = 90.00°. Symmetry generates all atoms from La at (0.191, 0.250, 0.428), Tb at (0.173, 0.250, 0.920), Se at (0.451, 0.750, 0.752), O at (0.012, 0.750, 0.886) and O at (0.016, 0.750, 0.372).

=====

VASP calculation (PBE) on a relaxed LaTeSe2O crystal.

Its raw formation energy is -765 kJ/mol of formula units. The total DFT energy (no corrections) is -55.9 eV per cell. The value obtained for the magnetic moment is 0.00 μB/f.u.

It has space group P4/nmm (No. 129, origin choice 2), with a = 4.165 Å, b = 4.165 Å, c = 13.989 Å, α = 90.00°, β = 90.00° and γ = 90.00°. Symmetry generates all atoms from La at (0.250, 0.250, 0.087), Te at (0.250, 0.250, 0.620), Se at (0.250, 0.250, 0.392), Se at (0.250, 0.250, 0.805) and O at (0.250, 0.750, 0.000).

=====

VASP calculation (PBE) on a relaxed La8Te3SeO8 crystal.

Its raw formation energy is -5877 kJ/mol of formula units. The total DFT energy (no corrections) is -152.9 eV per cell. The value obtained for the magnetic moment is 0.00 μB/f.u.

It has space group P4/mmm (No. 123), with a = 4.110 Å, b = 4.110 Å, c = 26.224 Å, α = 90.00°, β = 90.00° and γ = 90.00°. Symmetry generates all atoms from La at (0.000, 0.000, 0.075), La at (0.000, 0.000, 0.420), La at (0.500, 0.500, 0.167), La at (0.500, 0.500, 0.327), Te at (0.000, 0.000, 0.247), Te at (0.500, 0.500, 0.500), Se at (0.500, 0.500, 0.000), O at (0.000, 0.500, 0.121) and O at (0.000, 0.500, 0.374).

=====

VASP calculation (PBE) on a relaxed LaTi2SeO crystal.

Its raw formation energy is -1 kJ/mol of formula units. The total DFT energy (no corrections) is -29.2 eV per cell. The value obtained for the magnetic moment is 1.19 μB/f.u.

It has space group P4/mmm (No. 123), with a = 4.659 Å, b = 4.659 Å, c = 5.106 Å, α = 90.00°, β = 90.00° and γ = 90.00°. Symmetry generates all atoms from La at (0.000, 0.000, 0.000), Ti at (0.000, 0.500, 0.500), Se at (0.500, 0.500, 0.500) and O at (0.500, 0.500, 0.000).

=====

VASP calculation (PBE) on a relaxed LaTiSeO2 crystal.

Its raw formation energy is -1276 kJ/mol of formula units. The total DFT energy (no corrections) is -39.4 eV per cell. The value obtained for the magnetic moment is 0.89 μB/f.u.

It has space group P4mm (No. 99), with a = 3.956 Å, b = 3.956 Å, c = 5.933 Å, α = 90.00°, β = 90.00° and γ = 90.00°. Symmetry generates all atoms from La at (0.000, 0.000, 0.000), Ti at (0.500, 0.500, 0.326), Se at (0.500, 0.500, 0.755) and O at (0.000, 0.500, 0.243).

=====

VASP calculation (PBE) on a relaxed LaTlSe2O6 crystal.

Its raw formation energy is -1530 kJ/mol of formula units. The total DFT energy (no corrections) is -239.5 eV per cell. The value obtained for the magnetic moment is 0.00 μB/f.u.

It has space group C2/c (No. 15), with a = 8.833 Å, b = 11.006 Å, c = 7.988 Å, α = 90.00°, β = 107.94° and γ = 90.00°. Symmetry generates all atoms from La at (0.000, 0.061, 0.250), Tl at (0.000, 0.335, 0.750), Se at (0.206, 0.379, 0.302), O at (0.091, 0.111, 0.572), O at (0.186, 0.229, 0.240) and O at (0.226, 0.457, 0.123).

=====

VASP calculation (PBE) on a relaxed LaTl2Se2O6 crystal.

Its raw formation energy is -1414 kJ/mol of formula units. The total DFT energy (no corrections) is -122.1 eV per cell. The value obtained for the magnetic moment is 0.00 μB/f.u.

It has space group C2/m (No. 12), with a = 9.918 Å, b = 6.075 Å, c = 7.758 Å, α = 90.00°, β = 105.25° and γ = 90.00°. Symmetry generates all atoms from La at (0.000, 0.000, 0.000), Tl at (0.230, 0.000, 0.591), Se at (0.104, 0.500, 0.735), O at (0.005, 0.280, 0.776) and O at (0.250, 0.000, 0.089).

=====

VASP calculation (PBE) on a relaxed LaTmSe2O crystal.

Its raw formation energy is -1181 kJ/mol of formula units. The total DFT energy (no corrections) is -67.1 eV per cell. The value obtained for the magnetic moment is 0.00 μB/f.u.

It has space group P4/nmm (No. 129, origin choice 2), with a = 4.068 Å, b = 4.068 Å, c = 14.502 Å, α = 90.00°, β = 90.00° and γ = 90.00°. Symmetry generates all atoms from La at (0.250, 0.250, 0.085), Tm at (0.250, 0.250, 0.620), Se at (0.250, 0.250, 0.411), Se at (0.250, 0.250, 0.799) and O at (0.250, 0.750, 0.000).

=====

VASP calculation (PBE) on a relaxed LaTmSeO2 crystal.

Its raw formation energy is -1504 kJ/mol of formula units. The total DFT energy (no corrections) is -76.8 eV per cell. The value obtained for the magnetic moment is 0.00 μB/f.u.

It has space group P2_1/m (No. 11), with a = 6.679 Å, b = 4.099 Å, c = 7.774 Å, α = 90.00°, β = 109.00° and γ = 90.00°. Symmetry generates all atoms from La at (0.194, 0.250, 0.431), Tm at (0.167, 0.250, 0.923), Se at (0.455, 0.750, 0.755), O at (0.014, 0.750, 0.368) and O at (0.019, 0.750, 0.892).

=====

VASP calculation (PBE) on a relaxed LaUSeO2 crystal.

Its raw formation energy is -1284 kJ/mol of formula units. The total DFT energy (no corrections) is -85.9 eV per cell. The value obtained for the magnetic moment is 3.00 μB/f.u.

It has space group I4mm (No. 107), with a = 3.921 Å, b = 3.921 Å, c = 12.544 Å, α = 90.00°, β = 90.00° and γ = 90.00°. Symmetry generates all atoms from La at (0.000, 0.000, 0.000), U at (0.000, 0.000, 0.294), Se at (0.000, 0.000, 0.650) and O at (0.000, 0.500, 0.390).